Computed, not measured: GaSi2S after structural relaxation at the PBE-GGA level of DFT.

Space group ... No. 1
D(E_F) ... 1.2 states/eV/cell
Volume ... 18.2 Å³/atom
Raw formation energy ... 64 meV/atom

abc: 3.2151 3.7460 6.7741
angles: 81.20 89.77 64.71
Atoms (fractional coordinates):
1 Ga 0.9098 0.3141 0.8876
2 Si 0.9948 0.1544 0.3551
3 Si 0.6682 0.8087 0.1548
4 S 0.5169 0.1064 0.5987